a:
Material: ScIr3C
Method: DFT, PBE-GGA
State: relaxed

Structure (extended XYZ):
```
5
Lattice="-1.5995 -2.7668 3.4201 4.0721 -2.3081 0.0373 1.6644 2.9880 3.1957" Properties=species:S:1:pos:R:3 pbc="T T T"
Sc 0.0000 0.0000 0.0000
C 2.0685 -1.0434 3.3265
Ir 2.0361 -1.1540 0.0186
Ir 0.8322 1.4940 1.5978
Ir -0.7998 -1.3834 1.7101
```

Its symmetry is Pm-3m (221). The calculation puts the size of the total moment at 0.00 μB per formula unit. As for the calculated density: 10.3 g/cm3.

***

b:
Material: ScIr3C
Method: DFT, PBE-GGA
State: relaxed

Structure (extended XYZ):
```
5
Lattice="-3.9665 -1.1636 -0.2125 0.2919 -0.2422 -4.1217 1.1463 -3.9648 0.3141" Properties=species:S:1:pos:R:3 pbc="T T T"
Sc -1.2642 -2.6853 -2.0101
C 0.0000 0.0000 0.0000
Ir 0.1460 -0.1211 -2.0609
Ir 0.5731 -1.9824 0.1571
Ir -1.9833 -0.5818 -0.1063
```

Its symmetry is Pm-3m (221). The calculation puts the size of the total moment at 0.00 μB per formula unit. As for the calculated density: 14.8 g/cm3.

***

Most favorable structure: b. The second most favorable one is 305.3 kJ/mol of atoms above it.

***

a:
Material: Ir2CSe
Method: DFT, PBE-GGA
State: relaxed

Structure (extended XYZ):
```
4
Lattice="-2.2103 -3.6076 -0.1690 -3.8264 -0.0556 -1.8121 -0.5587 -1.9689 -3.7067" Properties=species:S:1:pos:R:3 pbc="T T T"
C 0.0000 0.0000 0.0000
Ir -1.6488 -1.4080 -1.4220
Ir -4.9465 -4.2240 -4.2659
Se -3.2977 -2.8160 -2.8439
```

Its symmetry is Fm-3m (225). The calculation puts the size of the total moment at 0.00 μB per formula unit. As for the calculated density: 14.7 g/cm3.

***

b:
Material: Ir2CSe
Method: DFT, PBE-GGA
State: relaxed

Structure (extended XYZ):
```
8
Lattice="5.0189 0.0000 0.0000 0.0000 5.0189 0.0000 2.5094 2.5094 5.1872" Properties=species:S:1:pos:R:3 pbc="T T T"
C 2.5094 2.5094 0.0000
C 2.5094 5.0189 2.5936
Ir 3.3589 1.2547 1.2968
Ir 1.6600 3.7642 1.2968
Ir 3.7642 4.1694 3.8904
Ir 6.2736 5.8684 3.8904
Se 0.0000 0.0000 0.0000
Se 5.0189 2.5094 2.5936
```

Its symmetry is I-42d (122). The calculation puts the size of the total moment at 0.00 μB per formula unit. As for the calculated density: 12.1 g/cm3.

***

Most favorable structure: b. The second most favorable one is 99.4 kJ/mol of atoms above it.

***

a:
Material: IrCSe3
Method: DFT, PBE-GGA
State: relaxed

Structure (extended XYZ):
```
5
Lattice="-2.6916 1.1980 -3.9166 2.7437 -2.9523 -2.7885 -3.0410 -3.7240 0.9507" Properties=species:S:1:pos:R:3 pbc="T T T"
C -1.4944 -2.7392 -2.8772
Ir 0.0000 0.0000 0.0000
Se 1.3718 -1.4762 -1.3943
Se -1.5205 -1.8620 0.4754
Se -1.3458 0.5990 -1.9583
```

Its symmetry is Pm-3m (221). The calculation puts the size of the total moment at 0.18 μB per formula unit. As for the calculated density: 6.2 g/cm3.

***

b:
Material: IrCSe3
Method: DFT, PBE-GGA
State: relaxed

Structure (extended XYZ):
```
5
Lattice="4.2856 0.0000 0.0000 0.0000 4.2856 0.0000 0.0000 0.0000 4.2856" Properties=species:S:1:pos:R:3 pbc="T T T"
C 0.0000 0.0000 0.0000
Ir 2.1428 2.1428 2.1428
Se 0.0000 2.1428 0.0000
Se 0.0000 0.0000 2.1428
Se 2.1428 0.0000 0.0000
```

Its symmetry is Pm-3m (221). The calculation puts the size of the total moment at 0.00 μB per formula unit. As for the calculated density: 9.3 g/cm3.

***

Most favorable structure: b. The second most favorable one is 46.0 kJ/mol of atoms above it.

***

a:
Material: Ir3CSe
Method: DFT, PBE-GGA
State: relaxed

Structure (extended XYZ):
```
5
Lattice="-3.5525 1.7766 2.2612 -2.7348 -3.1981 -1.7839 0.8888 -2.7396 3.5488" Properties=species:S:1:pos:R:3 pbc="T T T"
C -2.6993 -2.0806 2.0130
Ir -1.3674 -1.5990 -0.8920
Ir 0.4444 -1.3698 1.7744
Ir -1.7762 0.8883 1.1306
Se 0.0000 0.0000 0.0000
```

Its symmetry is Pm-3m (221). The calculation puts the size of the total moment at 1.32 μB per formula unit. As for the calculated density: 11.6 g/cm3.

***

b:
Material: Ir3CSe
Method: DFT, PBE-GGA
State: relaxed

Structure (extended XYZ):
```
5
Lattice="4.1546 0.0000 0.0000 0.0000 4.1546 0.0000 0.0000 0.0000 4.1546" Properties=species:S:1:pos:R:3 pbc="T T T"
C 0.0000 0.0000 0.0000
Ir 0.0000 2.0773 0.0000
Ir 0.0000 0.0000 2.0773
Ir 2.0773 0.0000 0.0000
Se 2.0773 2.0773 2.0773
```

Its symmetry is Pm-3m (221). The calculation puts the size of the total moment at 0.00 μB per formula unit. As for the calculated density: 15.5 g/cm3.

***

Most favorable structure: b. The second most favorable one is 174.8 kJ/mol of atoms above it.

***

a:
Material: SiIrCSe2
Method: DFT, PBE-GGA
State: relaxed

Structure (extended XYZ):
```
5
Lattice="4.8836 0.0000 0.0000 0.0000 3.4299 0.0000 0.0000 0.0000 4.8836" Properties=species:S:1:pos:R:3 pbc="T T T"
Si 0.0000 0.0000 0.0000
Ir 2.4418 1.7150 2.4418
C 0.0000 1.7150 0.0000
Se 0.0000 0.0000 2.4418
Se 2.4418 0.0000 0.0000
```

Its symmetry is P4/mmm (123). The calculation puts the size of the total moment at 0.00 μB per formula unit. As for the calculated density: 7.9 g/cm3.

***

b:
Material: SiIrCSe2
Method: DFT, PBE-GGA
State: relaxed

Structure (extended XYZ):
```
5
Lattice="-1.6659 -0.4884 -4.4469 -3.3246 -2.6591 1.5375 -2.7784 3.8321 0.6199" Properties=species:S:1:pos:R:3 pbc="T T T"
Si 0.0000 0.0000 0.0000
Ir -1.6623 -1.3296 0.7687
C -3.8844 0.3423 -1.1448
Se -1.3892 1.9161 0.3100
Se -0.8329 -0.2442 -2.2235
```

Its symmetry is P4/mmm (123). The calculation puts the size of the total moment at 0.62 μB per formula unit. As for the calculated density: 6.3 g/cm3.

***

Most favorable structure: a. The second most favorable one is 81.0 kJ/mol of atoms above it.

***

a:
Material: Si3IrC
Method: DFT, PBE-GGA
State: relaxed

Structure (extended XYZ):
```
5
Lattice="3.9338 0.0000 0.0000 0.0000 3.9338 0.0000 0.0000 0.0000 3.9338" Properties=species:S:1:pos:R:3 pbc="T T T"
Si 0.0000 1.9669 0.0000
Si 0.0000 0.0000 1.9669
Si 1.9669 0.0000 0.0000
Ir 1.9669 1.9669 1.9669
C 0.0000 0.0000 0.0000
```

Its symmetry is Pm-3m (221). The calculation puts the size of the total moment at 0.00 μB per formula unit. As for the calculated density: 7.9 g/cm3.

***

b:
Material: Si3IrC
Method: DFT, PBE-GGA
State: relaxed

Structure (extended XYZ):
```
5
Lattice="-2.5556 3.4460 -1.6221 -2.8826 -0.4733 3.5361 2.4893 2.9897 2.4295" Properties=species:S:1:pos:R:3 pbc="T T T"
Si -1.4413 -0.2367 1.7681
Si 1.2447 1.4949 1.2147
Si -1.2778 1.7230 -0.8111
Ir 0.0000 0.0000 0.0000
C -1.4745 2.9812 2.1717
```

Its symmetry is Pm-3m (221). The calculation puts the size of the total moment at 1.00 μB per formula unit. As for the calculated density: 5.0 g/cm3.

***

Most favorable structure: a. The second most favorable one is 86.6 kJ/mol of atoms above it.

***

a:
Material: SiIr2C
Method: DFT, PBE-GGA
State: relaxed

Structure (extended XYZ):
```
4
Lattice="1.6056 -3.2408 -1.9160 -2.0310 -3.5529 -0.0641 -1.6620 -1.3445 -3.4903" Properties=species:S:1:pos:R:3 pbc="T T T"
Si -1.0437 -4.0691 -2.7352
Ir -0.5218 -2.0345 -1.3676
Ir -1.5655 -6.1036 -4.1028
C 0.0000 0.0000 0.0000
```

Its symmetry is Fm-3m (225). The calculation puts the size of the total moment at 0.00 μB per formula unit. As for the calculated density: 14.5 g/cm3.

***

b:
Material: SiIr2C
Method: DFT, PBE-GGA
State: relaxed

Structure (extended XYZ):
```
8
Lattice="5.0428 0.0000 0.0000 0.0000 5.0428 0.0000 2.5214 2.5214 4.8316" Properties=species:S:1:pos:R:3 pbc="T T T"
Si 0.0000 0.0000 0.0000
Si 5.0428 2.5214 2.4158
Ir 3.4760 1.2607 1.2079
Ir 1.5668 3.7821 1.2079
Ir 3.7821 4.0882 3.6237
Ir 6.3035 5.9973 3.6237
C 2.5214 2.5214 0.0000
C 2.5214 5.0428 2.4158
```

Its symmetry is I-42d (122). The calculation puts the size of the total moment at 0.00 μB per formula unit. As for the calculated density: 11.5 g/cm3.

***

Most favorable structure: b. The second most favorable one is 63.7 kJ/mol of atoms above it.

***

a:
Material: SnIr3C
Method: DFT, PBE-GGA
State: relaxed

Structure (extended XYZ):
```
5
Lattice="-2.6221 0.5183 3.2242 2.7076 -1.9666 2.5181 1.8256 3.6611 0.8962" Properties=species:S:1:pos:R:3 pbc="T T T"
C 0.0000 0.0000 0.0000
Ir 1.3538 -0.9833 1.2591
Ir 0.9128 1.8306 0.4481
Ir -1.3111 0.2591 1.6121
Sn 0.9556 1.1064 3.3193
```

Its symmetry is Pm-3m (221). The calculation puts the size of the total moment at 0.00 μB per formula unit. As for the calculated density: 16.0 g/cm3.

***

b:
Material: SnIr3C
Method: DFT, PBE-GGA
State: relaxed

Structure (extended XYZ):
```
5
Lattice="4.8768 0.0000 0.0000 0.0000 4.8768 0.0000 0.0000 0.0000 4.8768" Properties=species:S:1:pos:R:3 pbc="T T T"
C 2.4384 2.4384 2.4384
Ir 0.0000 2.4384 0.0000
Ir 0.0000 0.0000 2.4384
Ir 2.4384 0.0000 0.0000
Sn 0.0000 0.0000 0.0000
```

Its symmetry is Pm-3m (221). The calculation puts the size of the total moment at 1.11 μB per formula unit. As for the calculated density: 10.1 g/cm3.

***

Most favorable structure: a. The second most favorable one is 269.5 kJ/mol of atoms above it.

***

a:
Material: SrIrC
Method: DFT, PBE-GGA
State: relaxed

Structure (extended XYZ):
```
12
Lattice="5.8988 0.0000 0.0000 0.0000 5.8988 0.0000 0.0000 0.0000 5.8988" Properties=species:S:1:pos:R:3 pbc="T T T"
Ir 2.0686 3.8302 0.8808
Ir 0.8808 2.0686 3.8302
Ir 3.8302 0.8808 2.0686
Ir 5.0180 5.0180 5.0180
C 2.4077 2.4077 2.4077
C 0.5417 3.4911 5.3572
C 5.3572 0.5417 3.4911
C 3.4911 5.3572 0.5417
Sr 0.8326 0.8326 0.8326
Sr 3.7820 2.1168 5.0662
Sr 2.1168 5.0662 3.7820
Sr 5.0662 3.7820 2.1168
```

Its symmetry is P2_13 (198). The calculation puts the size of the total moment at 0.00 μB per formula unit. As for the calculated density: 9.4 g/cm3.

***

b:
Material: SrIrC
Method: DFT, PBE-GGA
State: relaxed

Structure (extended XYZ):
```
6
Lattice="6.1350 0.0029 0.0034 3.0688 4.8740 0.6254 3.0692 1.6896 4.6148" Properties=species:S:1:pos:R:3 pbc="T T T"
Sr 11.1809 5.3583 4.8896
Sr 5.0444 2.0750 2.2678
Ir 1.9759 0.5713 0.7842
Ir 8.1128 3.5789 3.7514
C 6.5790 2.9198 4.5751
C 9.6465 2.9212 4.5769
```

Its symmetry is Imma (74). The calculation puts the size of the total moment at 0.00 μB per formula unit. As for the calculated density: 7.4 g/cm3.

***

c:
Material: SrIrC
Method: DFT, PBE-GGA
State: relaxed

Structure (extended XYZ):
```
3
Lattice="-2.1856 -3.4928 -2.4872 3.1843 -1.3356 -0.9225 -1.6101 -1.1202 2.9879" Properties=species:S:1:pos:R:3 pbc="T T T"
Sr -1.4688 -3.5201 0.0266
C 1.2215 -1.8466 -0.0340
Ir -0.3641 -0.5819 -0.4144
```

Its symmetry is P-6m2 (187). The calculation puts the size of the total moment at 0.00 μB per formula unit. As for the calculated density: 9.1 g/cm3.

***

d:
Material: SrIrC
Method: DFT, PBE-GGA
State: relaxed

Structure (extended XYZ):
```
6
Lattice="3.8462 0.0000 0.0000 0.0000 3.8462 0.0000 0.0000 0.0000 8.2486" Properties=species:S:1:pos:R:3 pbc="T T T"
Sr 0.0000 0.0000 6.1865
Sr 0.0000 0.0000 2.0622
Ir 1.9231 1.9231 0.0000
Ir 1.9231 1.9231 4.1243
C 1.9231 0.0000 4.1243
C 0.0000 1.9231 0.0000
```

Its symmetry is P4_2/mmc (131). The calculation puts the size of the total moment at 0.00 μB per formula unit. As for the calculated density: 7.9 g/cm3.

***

Most favorable structure: d. The second most favorable one is 4.6 kJ/mol of atoms above it.

***

a:
Material: Ta3IrC
Method: DFT, PBE-GGA
State: relaxed

Structure (extended XYZ):
```
5
Lattice="4.2467 0.0000 0.0000 0.0000 4.2467 0.0000 0.0000 0.0000 4.2467" Properties=species:S:1:pos:R:3 pbc="T T T"
C 0.0000 0.0000 0.0000
Ir 2.1234 2.1234 2.1234
Ta 0.0000 2.1234 0.0000
Ta 0.0000 0.0000 2.1234
Ta 2.1234 0.0000 0.0000
```

Its symmetry is Pm-3m (221). The calculation puts the size of the total moment at 0.00 μB per formula unit. As for the calculated density: 16.2 g/cm3.

***

b:
Material: Ta3IrC
Method: DFT, PBE-GGA
State: relaxed

Structure (extended XYZ):
```
20
Lattice="-5.1320 0.9967 0.0031 -1.4169 -5.2097 5.4373 0.8258 6.3413 4.2212" Properties=species:S:1:pos:R:3 pbc="T T T"
Ta -3.5136 2.3823 8.3082
Ta -4.4700 1.8185 1.1892
Ta -2.2096 -0.2539 1.3534
Ta -1.2532 0.3099 8.4724
Ta -4.2885 5.1448 5.7358
Ta -2.6277 4.5536 3.1828
Ta -1.4347 -3.0165 3.9258
Ta -3.0955 -2.4252 6.4788
Ta -2.2398 3.0598 5.7203
Ta -0.1684 2.4274 3.5337
Ta -3.4834 -0.9314 3.9413
Ta -5.5547 -0.2990 6.1279
Ir -5.0788 2.3752 6.0705
Ir -2.9327 1.6819 3.4421
Ir -0.6444 -0.2469 3.5911
Ir -2.7905 0.4465 6.2195
C -2.5550 -4.2139 5.3595
C -3.1682 6.3422 4.3021
C -0.9076 4.2708 4.4662
C -4.8156 -2.1424 5.1954
```

Its symmetry is C2/c (15). The calculation puts the size of the total moment at 0.00 μB per formula unit. As for the calculated density: 16.5 g/cm3.

***

c:
Material: Ta3IrC
Method: DFT, PBE-GGA
State: relaxed

Structure (extended XYZ):
```
5
Lattice="-0.8981 0.0382 4.7440 4.7408 -0.1729 0.8989 0.1770 4.8251 -0.0053" Properties=species:S:1:pos:R:3 pbc="T T T"
C 2.0098 2.3452 2.8188
Ir 0.0000 0.0000 0.0000
Ta 2.3704 -0.0864 0.4495
Ta 0.0885 2.4126 -0.0027
Ta -0.4491 0.0191 2.3720
```

Its symmetry is Pm-3m (221). The calculation puts the size of the total moment at 0.00 μB per formula unit. As for the calculated density: 11.0 g/cm3.

***

Most favorable structure: b. The second most favorable one is 9.8 kJ/mol of atoms above it.

***

a:
Material: TaIrC2
Method: DFT, PBE-GGA
State: relaxed

Structure (extended XYZ):
```
8
Lattice="4.6197 0.0000 0.0000 0.0000 4.6197 0.0000 2.3098 2.3098 4.9813" Properties=species:S:1:pos:R:3 pbc="T T T"
C 3.5436 1.1549 1.2453
C 1.0761 3.4647 1.2453
C 3.4647 3.3859 3.7360
C 5.7746 5.8534 3.7360
Ir 0.0000 0.0000 0.0000
Ir 4.6197 2.3098 2.4907
Ta 2.3098 2.3098 0.0000
Ta 2.3098 4.6197 2.4907
```

Its symmetry is I-42d (122). The calculation puts the size of the total moment at 0.00 μB per formula unit. As for the calculated density: 12.4 g/cm3.

***

b:
Material: TaIrC2
Method: DFT, PBE-GGA
State: relaxed

Structure (extended XYZ):
```
4
Lattice="1.6034 2.0693 2.9065 -1.3090 3.6002 0.7911 -2.0294 0.6671 3.2767" Properties=species:S:1:pos:R:3 pbc="T T T"
C -0.4337 1.5842 1.7436
C -1.3012 4.7525 5.2307
Ir -0.8675 3.1683 3.4871
Ta 0.0000 0.0000 0.0000
```

Its symmetry is Fm-3m (225). The calculation puts the size of the total moment at 0.00 μB per formula unit. As for the calculated density: 15.6 g/cm3.

***

Most favorable structure: a. The second most favorable one is 56.9 kJ/mol of atoms above it.

***

a:
Material: Tc3IrC
Method: DFT, PBE-GGA
State: relaxed

Structure (extended XYZ):
```
5
Lattice="-0.2706 0.7671 3.9588 -3.9929 -0.6052 -0.1556 0.5632 -3.9216 0.7984" Properties=species:S:1:pos:R:3 pbc="T T T"
C 0.0000 0.0000 0.0000
Ir -1.8501 -1.8799 2.3008
Tc -1.9965 -0.3026 -0.0778
Tc 0.2816 -1.9608 0.3992
Tc -0.1353 0.3835 1.9794
```

Its symmetry is Pm-3m (221). The calculation puts the size of the total moment at 0.00 μB per formula unit. As for the calculated density: 12.5 g/cm3.

***

b:
Material: Tc3IrC
Method: DFT, PBE-GGA
State: relaxed

Structure (extended XYZ):
```
5
Lattice="4.7069 0.0000 0.0000 0.0000 4.7069 0.0000 0.0000 0.0000 4.7069" Properties=species:S:1:pos:R:3 pbc="T T T"
C 2.3534 2.3534 2.3534
Ir 0.0000 0.0000 0.0000
Tc 0.0000 2.3534 0.0000
Tc 0.0000 0.0000 2.3534
Tc 2.3534 0.0000 0.0000
```

Its symmetry is Pm-3m (221). The calculation puts the size of the total moment at 2.71 μB per formula unit. As for the calculated density: 7.9 g/cm3.

***

Most favorable structure: a. The second most favorable one is 279.1 kJ/mol of atoms above it.